Density functional theory data (PBE) for an optimized crystal structure of GaP2CO.

Properties
- Offset from the most stable computed form: 15.50 kcal/mol of atoms
- Crystal system: tetragonal
- Formation energy without anion corrections: 1.60 eV per atom
- Total moment: 0.0 μB per formula unit

a b c (Å): 4.769 4.769 3.551
angles (deg): 90.00 90.00 90.00
Atoms (fractional coordinates):
O  0.000  0.000  0.500
Ga  0.000  0.000  0.000
P  0.500  0.000  0.000
P  0.000  0.500  0.000
C  0.500  0.500  0.500

Density functional theory data (PBE) for an optimized crystal structure of Ce3Th2ZrAs6.

Properties
- Crystal system: monoclinic
- Raw total energy: -0.262 Ha/atom
- Total moment: 1.8 μB per formula unit

a b c (Å): 4.175 8.363 9.332
angles (deg): 103.12 102.93 90.00
Atoms (fractional coordinates):
Th  0.836  0.671  0.673
Th  0.164  0.329  0.327
As  0.660  0.076  0.320
As  0.997  0.234  0.994
As  0.340  0.924  0.680
As  0.003  0.766  0.006
As  0.667  0.585  0.334
As  0.333  0.415  0.666
Zr  0.500  0.000  0.000
Ce  0.168  0.835  0.337
Ce  0.500  0.500  0.000
Ce  0.832  0.165  0.663

Density functional theory data (PBE) for an optimized crystal structure of Ag2HgP.

Properties
- Offset from the most stable computed form: 2.41 kcal/mol of atoms
- Crystal system: cubic
- Total moment: 0.0 μB per formula unit

a b c (Å): 4.754 4.754 4.754
angles (deg): 60.00 60.00 60.00
Atoms (fractional coordinates):
Ag  0.750  0.750  0.750
Ag  0.250  0.250  0.250
Hg  0.500  0.500  0.500
P  0.000  0.000  0.000

Density functional theory data (PBE) for an optimized crystal structure of Be2ReAu.

Properties
- Offset from the most stable computed form: 12.07 kcal/mol of atoms
- Crystal system: tetragonal
- Total moment: 0.0 μB per formula unit

a b c (Å): 6.191 6.191 5.168
angles (deg): 53.21 53.21 90.00
Atoms (fractional coordinates):
Re  0.250  0.750  0.500
Re  0.500  0.500  0.000
Be  0.375  0.369  0.750
Be  0.119  0.625  0.250
Be  0.631  0.125  0.250
Be  0.875  0.881  0.750
Au  0.750  0.250  0.500
Au  0.000  0.000  0.000

Density functional theory data (PBE) for an optimized crystal structure of Cd5Rh3.

Properties
- Offset from the most stable computed form: 1.50 kcal/mol of atoms
- Crystal system: monoclinic
- Total moment: 0.0 μB per formula unit

a b c (Å): 5.657 7.535 7.535
angles (deg): 94.89 109.32 70.67
Atoms (fractional coordinates):
Rh  0.997  0.828  0.579
Rh  0.750  0.042  0.042
Rh  0.504  0.579  0.829
Rh  0.250  0.958  0.959
Rh  0.004  0.172  0.421
Rh  0.497  0.421  0.172
Cd  0.783  0.187  0.714
Cd  0.986  0.325  0.088
Cd  0.250  0.463  0.464
Cd  0.718  0.713  0.188
Cd  0.515  0.087  0.325
Cd  0.283  0.287  0.813
Cd  0.486  0.913  0.675
Cd  0.750  0.537  0.537
Cd  0.218  0.813  0.287
Cd  0.015  0.675  0.913

Density functional theory data (PBE) for an optimized crystal structure of Zr6FeSn2.

Properties
- Crystal system: hexagonal
- Raw total energy: -0.291 Ha/atom
- Total moment: 0.0 μB per formula unit

a b c (Å): 3.491 8.014 8.014
angles (deg): 120.00 90.00 90.00
Atoms (fractional coordinates):
Zr  0.000  0.759  0.759
Zr  0.500  0.607  0.000
Zr  0.500  0.393  0.393
Zr  0.500  0.000  0.607
Zr  0.000  0.241  0.000
Zr  0.000  0.000  0.241
Sn  0.000  0.667  0.333
Sn  0.000  0.333  0.667
Fe  0.500  0.000  0.000

Density functional theory data (PBE) for an optimized crystal structure of Rb3TcCl8.

Properties
- Offset from the most stable computed form: 5.48 kcal/mol of atoms
- Crystal system: tetragonal
- Formation energy without anion corrections: -1.03 eV per atom
- Total moment: 2.1 μB per formula unit

a b c (Å): 7.351 7.351 8.757
angles (deg): 114.82 114.82 90.00
Atoms (fractional coordinates):
Cl  0.903  0.308  0.211
Cl  0.308  0.308  0.211
Cl  0.097  0.692  0.789
Cl  0.903  0.903  0.211
Cl  0.097  0.097  0.789
Cl  0.308  0.903  0.211
Cl  0.692  0.097  0.789
Cl  0.692  0.692  0.789
Rb  0.500  0.500  0.000
Rb  0.750  0.250  0.500
Rb  0.250  0.750  0.500
Tc  0.000  0.000  0.000

Density functional theory data (PBE) for an optimized crystal structure of PrPu2S4.

Properties
- Crystal system: orthorhombic
- Formation energy without anion corrections: -1.82 eV per atom
- Total moment: 10.9 μB per formula unit

a b c (Å): 3.945 6.850 13.215
angles (deg): 90.00 90.00 106.74
Atoms (fractional coordinates):
S  0.500  0.000  0.500
S  0.037  0.074  0.250
S  0.772  0.544  0.122
S  0.963  0.926  0.750
S  0.228  0.456  0.622
S  0.772  0.544  0.378
S  0.500  0.000  0.000
S  0.228  0.456  0.878
Pu  0.132  0.264  0.066
Pu  0.868  0.736  0.566
Pu  0.868  0.736  0.934
Pu  0.132  0.264  0.434
Pr  0.381  0.762  0.250
Pr  0.619  0.238  0.750

Density functional theory data (PBE) for an optimized crystal structure of Pm6Y5.

Properties
- Crystal system: monoclinic
- Raw total energy: -0.199 Ha/atom
- Total moment: 0.0 μB per formula unit

a b c (Å): 10.313 8.502 6.133
angles (deg): 73.23 61.59 52.66
Atoms (fractional coordinates):
Pm  0.048  0.273  0.900
Pm  0.679  0.273  0.100
Pm  0.180  0.000  0.424
Pm  0.321  0.727  0.900
Pm  0.820  0.000  0.576
Pm  0.952  0.727  0.100
Y  0.368  0.264  0.000
Y  0.768  0.465  0.500
Y  0.632  0.736  0.000
Y  0.232  0.535  0.500
Y  0.500  0.000  0.500

Density functional theory data (PBE) for an optimized crystal structure of CeMg2ZnAu4.

Properties
- Crystal system: trigonal
- Raw total energy: -0.127 Ha/atom
- Total moment: 0.9 μB per formula unit

a b c (Å): 4.597 4.597 9.186
angles (deg): 75.51 75.51 60.00
Atoms (fractional coordinates):
Au  0.871  0.871  0.386
Au  0.604  0.604  0.188
Au  0.396  0.396  0.812
Au  0.129  0.129  0.614
Ce  0.000  0.000  0.000
Mg  0.762  0.762  0.714
Mg  0.238  0.238  0.286
Zn  0.500  0.500  0.500

What did the ninth record say?
Density functional theory data (PBE) for an optimized crystal structure of Pm6Y5.

Properties
- Crystal system: monoclinic
- Raw total energy: -0.199 Ha/atom
- Total moment: 0.0 μB per formula unit

a b c (Å): 10.313 8.502 6.133
angles (deg): 73.23 61.59 52.66
Atoms (fractional coordinates):
Pm  0.048  0.273  0.900
Pm  0.679  0.273  0.100
Pm  0.180  0.000  0.424
Pm  0.321  0.727  0.900
Pm  0.820  0.000  0.576
Pm  0.952  0.727  0.100
Y  0.368  0.264  0.000
Y  0.768  0.465  0.500
Y  0.632  0.736  0.000
Y  0.232  0.535  0.500
Y  0.500  0.000  0.500